An optimized crystal structure of PaTaAs2Ru5, computed with PBE-GGA.

The space group is P4/mmm (No. 123) and the conventional cell measures 4.118, 4.118 and 8.650 Å, with angles of 90.00, 90.00 and 90.00 degrees. The distinct sites, in fractional coordinates, are Pa at (0.000, 0.000, 0.000), Ta at (0.000, 0.000, 0.500), As at (0.500, 0.500, 0.143), Ru at (0.000, 0.500, 0.285) and Ru at (0.500, 0.500, 0.500).

The value obtained for the spin magnetization is 0.0 μB/f.u. The calculation puts the formation energy at -0.440 eV per atom. Its total energy is -80.98 eV per cell.



An optimized crystal structure of ThPaAs2Ru2, computed with PBE-GGA.

The space group is P-3m1 (No. 164) and the conventional cell measures 4.2520, 4.2520 and 7.7393 Å, with angles of 90.00, 90.00 and 120.00 degrees. The distinct sites, in fractional coordinates, are Th at (0.0000, 0.0000, 0.0000), Pa at (0.0000, 0.0000, 0.5000), As at (0.3333, 0.6667, 0.2332) and Ru at (0.3333, 0.6667, 0.7059).

The value obtained for the spin magnetization is 0.0 μB/f.u. The calculation puts the formation energy at -0.843 eV per atom. Its total energy is -49.83 eV per cell.



An optimized crystal structure of Pa3As5S12, computed with PBE-GGA.

The space group is Ia-3d (No. 230) and the conventional cell measures 15.489, 15.489 and 15.489 Å, with angles of 90.00, 90.00 and 90.00 degrees. The distinct sites, in fractional coordinates, are Pa at (0.000, 0.250, 0.125), As at (0.000, 0.000, 0.000), As at (0.000, 0.250, 0.375) and S at (0.017, 0.065, 0.652).

The value obtained for the spin magnetization is 3.0 μB/f.u. Its total energy is -891.47 eV per cell.



An optimized crystal structure of Pa4AsS6, computed with PBE-GGA.

The space group is P4_2/nmc (No. 137, origin choice 2) and the conventional cell measures 9.189, 9.189 and 6.598 Å, with angles of 90.00, 90.00 and 90.00 degrees. The distinct sites, in fractional coordinates, are Pa at (0.018, 0.250, 0.040), As at (0.250, 0.750, 0.750), S at (0.032, 0.532, 0.250) and S at (0.250, 0.250, 0.292).

The value obtained for the spin magnetization is 5.1 μB/f.u. Its total energy is -165.59 eV per cell.



An optimized crystal structure of Pa5As5S, computed with PBE-GGA.

The space group is C2/m (No. 12) and the conventional cell measures 12.764, 5.702 and 8.081 Å, with angles of 90.00, 108.75 and 90.00 degrees. The distinct sites, in fractional coordinates, are Pa at (0.000, 0.000, 0.000), Pa at (0.160, 0.500, 0.837), Pa at (0.161, 0.500, 0.325), As at (0.000, 0.500, 0.500), As at (0.161, 0.000, 0.821), As at (0.170, 0.000, 0.338) and S at (0.000, 0.500, 0.000).

The value obtained for the spin magnetization is 0.0 μB/f.u. Its total energy is -171.87 eV per cell.



An optimized crystal structure of Pa6As5S, computed with PBE-GGA.

The space group is C2/m (No. 12) and the conventional cell measures 7.044, 12.187 and 7.036 Å, with angles of 90.00, 109.46 and 90.00 degrees. The distinct sites, in fractional coordinates, are Pa at (0.240, 0.000, 0.253), Pa at (0.242, 0.162, 0.743), As at (0.000, 0.172, 0.000), As at (0.000, 0.335, 0.500), As at (0.000, 0.500, 0.000) and S at (0.000, 0.000, 0.500).

The value obtained for the spin magnetization is 0.0 μB/f.u. Its total energy is -196.21 eV per cell.



An optimized crystal structure of Pa5AsS4, computed with PBE-GGA.

The space group is C2/m (No. 12) and the conventional cell measures 13.065, 4.029 and 9.244 Å, with angles of 90.00, 117.86 and 90.00 degrees. The distinct sites, in fractional coordinates, are Pa at (0.000, 0.000, 0.000), Pa at (0.108, 0.500, 0.394), Pa at (0.203, 0.000, 0.811), As at (0.000, 0.000, 0.500), S at (0.095, 0.500, 0.896) and S at (0.204, 0.000, 0.294).

The value obtained for the spin magnetization is 0.0 μB/f.u. Its total energy is -167.10 eV per cell.



An optimized crystal structure of Pa3AsS3, computed with PBE-GGA.

The space group is R-3 (No. 148, hexagonal axes) and the conventional cell measures 8.2830, 8.2830 and 16.4625 Å, with angles of 90.00, 90.00 and 120.00 degrees. The distinct sites, in fractional coordinates, are Pa at (0.0032, 0.6357, 0.4225), As at (0.0000, 0.0000, 0.1673) and S at (0.0046, 0.7148, 0.5890).

The value obtained for the spin magnetization is 2.1 μB/f.u. Its total energy is -330.33 eV per cell.



An optimized crystal structure of Pa2AsS2, computed with PBE-GGA.

The space group is C2/m (No. 12) and the conventional cell measures 6.975, 4.026 and 10.035 Å, with angles of 90.00, 90.62 and 90.00 degrees. The distinct sites, in fractional coordinates, are Pa at (0.169, 0.000, 0.169), As at (0.000, 0.500, 0.000) and S at (0.162, 0.000, 0.691).

The value obtained for the spin magnetization is 0.0 μB/f.u. The calculation puts the distance to the lowest polymorph of the same formula at 0 meV per atom. Its total energy is -77.49 eV per cell.



An optimized crystal structure of Pa2AsS2, computed with PBE-GGA.

The space group is Immm (No. 71) and the conventional cell measures 3.998, 5.389 and 12.306 Å, with angles of 90.00, 90.00 and 90.00 degrees. The distinct sites, in fractional coordinates, are Pa at (0.000, 0.000, 0.164), As at (0.000, 0.500, 0.500) and S at (0.000, 0.500, 0.178).

The value obtained for the spin magnetization is 0.1 μB/f.u. The calculation puts the distance to the lowest polymorph of the same formula at 89 meV per atom. Its total energy is -76.60 eV per cell.



An optimized crystal structure of Pa4AsS5, computed with PBE-GGA.

The space group is C2/m (No. 12) and the conventional cell measures 17.106, 3.934 and 8.021 Å, with angles of 90.00, 104.57 and 90.00 degrees. The distinct sites, in fractional coordinates, are Pa at (0.001, 0.000, 0.244), Pa at (0.171, 0.500, 0.596), As at (0.000, 0.500, 0.500), S at (0.000, 0.500, 0.000), S at (0.163, 0.000, 0.824) and S at (0.166, 0.000, 0.346).

The value obtained for the spin magnetization is 2.0 μB/f.u. Its total energy is -155.72 eV per cell.



An optimized crystal structure of Pa6AsS12, computed with PBE-GGA.

The space group is R-3 (No. 148, hexagonal axes) and the conventional cell measures 12.0577, 12.0577 and 10.8416 Å, with angles of 90.00, 90.00 and 120.00 degrees. The distinct sites, in fractional coordinates, are Pa at (0.0500, 0.2702, 0.1476), As at (0.0000, 0.0000, 0.5000), S at (0.0355, 0.2139, 0.8916) and S at (0.0501, 0.2075, 0.3913).

The value obtained for the spin magnetization is 9.0 μB/f.u. Its total energy is -411.22 eV per cell.



An optimized crystal structure of Pa6AsS5, computed with PBE-GGA.

The space group is C2/m (No. 12) and the conventional cell measures 6.758, 12.201 and 6.708 Å, with angles of 90.00, 111.51 and 90.00 degrees. The distinct sites, in fractional coordinates, are Pa at (0.241, 0.000, 0.254), Pa at (0.241, 0.171, 0.741), As at (0.000, 0.500, 0.000), S at (0.000, 0.000, 0.500), S at (0.000, 0.168, 0.000) and S at (0.000, 0.339, 0.500).

The value obtained for the spin magnetization is 0.0 μB/f.u. Its total energy is -200.70 eV per cell.



An optimized crystal structure of PaAsS3, computed with PBE-GGA.

The space group is P-1 (No. 2) and the conventional cell measures 6.388, 6.800 and 6.868 Å, with angles of 62.94, 68.60 and 76.73 degrees. The distinct sites, in fractional coordinates, are Pa at (0.203, 0.218, 0.435), As at (0.379, 0.495, 0.854), S at (0.133, 0.451, 0.696), S at (0.169, 0.970, 0.264) and S at (0.348, 0.859, 0.778).

The value obtained for the spin magnetization is 0.0 μB/f.u. Its total energy is -61.92 eV per cell.



An optimized crystal structure of Pa2As2S, computed with PBE-GGA.

The space group is Cmcm (No. 63) and the conventional cell measures 4.534, 16.972 and 5.633 Å, with angles of 90.00, 90.00 and 90.00 degrees. The distinct sites, in fractional coordinates, are Pa at (0.000, 0.077, 0.250), Pa at (0.000, 0.314, 0.250), As at (0.000, 0.303, 0.750), As at (0.000, 0.500, 0.000) and S at (0.000, 0.100, 0.750).

The value obtained for the spin magnetization is 0.0 μB/f.u. Its total energy is -152.30 eV per cell.



An optimized crystal structure of Pa4As3S, computed with PBE-GGA.

The space group is P2/c (No. 13) and the conventional cell measures 6.955, 8.100 and 7.065 Å, with angles of 90.00, 109.50 and 90.00 degrees. The distinct sites, in fractional coordinates, are Pa at (0.237, 0.119, 0.000), Pa at (0.244, 0.369, 0.494), As at (0.000, 0.375, 0.750), As at (0.500, 0.125, 0.750), As at (0.500, 0.375, 0.250) and S at (0.000, 0.125, 0.250).

The value obtained for the spin magnetization is 0.0 μB/f.u. Its total energy is -131.13 eV per cell.



An optimized crystal structure of Pa4As2SeS, computed with PBE-GGA.

The space group is P2/m (No. 10) and the conventional cell measures 6.808, 4.086 and 7.134 Å, with angles of 90.00, 110.10 and 90.00 degrees. The distinct sites, in fractional coordinates, are Pa at (0.236, 0.000, 0.237), Pa at (0.242, 0.500, 0.756), As at (0.500, 0.000, 0.000), As at (0.500, 0.500, 0.500), Se at (0.000, 0.000, 0.500) and S at (0.000, 0.500, 0.000).

The value obtained for the spin magnetization is 0.0 μB/f.u. Its total energy is -64.76 eV per cell.



An optimized crystal structure of Pa4AsSeS2, computed with PBE-GGA.

The space group is P2/m (No. 10) and the conventional cell measures 6.755, 4.038 and 7.011 Å, with angles of 90.00, 110.14 and 90.00 degrees. The distinct sites, in fractional coordinates, are Pa at (0.227, 0.000, 0.241), Pa at (0.228, 0.500, 0.744), As at (0.500, 0.000, 0.000), Se at (0.500, 0.500, 0.500), S at (0.000, 0.000, 0.500) and S at (0.000, 0.500, 0.000).

The value obtained for the spin magnetization is 0.0 μB/f.u. Its total energy is -65.41 eV per cell.